No. 1
Re2SiTe | PBE-GGA | relaxed

Structure (POSCAR):
```
Re2SiTe
1.0
-3.3875 2.9190 1.0467
-4.2322 1.0915 -1.4101
-3.3063 -2.6120 3.0797
Re Si Te
2 1 1
direct
0.7670 0.7670 0.6251
0.0050 0.0050 0.0026
0.4822 0.4822 0.6514
0.2458 0.2458 0.2208
```

Calculated values
- uncorrected formation energy (eV per atom) = 0.30
- space-group type = Cm
- energy above the most stable polymorph in this dataset (meV/atom) = 0
- size of the total moment (μB/atom) = 0.00
- DOS at the Fermi energy (states/eV/f.u.) = 1.33

=====

No. 2
Ca2HPt | PBE-GGA | relaxed

Structure (POSCAR):
```
Ca2HPt
1.0
-3.4119 -4.1492 4.1017
1.4566 -5.2069 -4.0555
2.0193 -5.2951 1.8918
H Ca Pt
2 4 2
direct
0.2500 0.7500 0.5000
0.5000 0.5000 0.0000
0.1946 0.6250 0.2500
0.8750 0.8054 0.7500
0.5554 0.1250 0.2500
0.3750 0.4446 0.7500
0.0000 0.0000 0.0000
0.7500 0.2500 0.5000
```

Calculated values
- space-group type = I-42d
- energy above the most stable polymorph in this dataset (meV/atom) = 89
- size of the total moment (μB/atom) = 0.00
- DOS at the Fermi energy (states/eV/f.u.) = 2.77

=====

No. 3
NaTl10Pb2 | PBE-GGA | relaxed

Structure (POSCAR):
```
NaTl10Pb2
1.0
-0.1284 -6.4018 1.4220
1.1298 -4.9871 -7.2230
7.7907 -3.1009 1.8706
Tl Pb Na
10 2 1
direct
0.5002 0.7910 0.2086
0.4998 0.2090 0.7914
0.5000 0.0000 0.5000
0.0000 0.0000 0.5000
0.7088 0.7910 0.7914
0.9998 0.3552 0.6453
0.2912 0.2090 0.2086
0.6451 0.3552 0.3547
0.3549 0.6448 0.6453
0.0002 0.6448 0.3547
0.0000 0.5000 0.0000
0.5000 0.5000 0.0000
0.0000 0.0000 0.0000
```

Calculated values
- space-group type = Fmmm
- E_form (eV per atom) = 0.03
- size of the total moment (μB/atom) = 0.00
- DOS at the Fermi energy (states/eV/f.u.) = 7.01

=====

No. 4
Mg2OsPb | PBE-GGA | relaxed

Structure (POSCAR):
```
Mg2OsPb
1.0
-0.7095 5.0564 0.7106
-3.8538 -2.5824 2.2483
1.6011 -0.1383 2.5869
Pb Os Mg
1 1 2
direct
0.0000 0.5000 0.5000
0.5000 0.0000 0.5000
0.5000 0.5000 0.0000
0.0000 0.0000 0.0000
```

Calculated values
- space-group type = Cmmm
- E_form (eV per atom) = 0.42
- size of the total moment (μB/atom) = 0.00
- DOS at the Fermi energy (states/eV/f.u.) = 3.67

=====

No. 5
SrTeOsN2 | PBE-GGA | relaxed

Structure (POSCAR):
```
SrTeOsN2
1.0
4.0785 0.0000 0.0000
0.0000 4.0785 0.0000
0.0000 0.0000 5.6784
N Os Te Sr
2 1 1 1
direct
0.5000 0.0000 0.0000
0.0000 0.5000 0.0000
0.0000 0.0000 0.0000
0.0000 0.0000 0.5000
0.5000 0.5000 0.5000
```

Calculated values
- uncorrected formation energy (eV per atom) = 0.32
- space-group type = P4/mmm
- size of the total moment (μB/atom) = 0.00
- DOS at the Fermi energy (states/eV/f.u.) = 2.84

=====

No. 6
RuAuSe2 | PBE-GGA | relaxed

Structure (POSCAR):
```
RuAuSe2
1.0
6.3031 -0.0016 -0.0021
3.7998 5.0290 0.0021
-4.4931 -3.6357 2.5145
Ru Se Au
1 2 1
direct
0.2500 0.7500 0.5000
0.4270 0.4270 0.0000
0.0730 0.0730 0.0000
0.7500 0.2500 0.5000
```

Calculated values
- uncorrected formation energy (eV per atom) = 0.12
- space-group type = Immm
- size of the total moment (μB/atom) = 0.00
- DOS at the Fermi energy (states/eV/f.u.) = 3.64

=====

No. 7
Zn2FeMo | PBE-GGA | relaxed

Structure (POSCAR):
```
Zn2FeMo
1.0
4.8220 0.0296 0.0000
1.9349 4.4168 0.0000
-3.3784 -2.2232 2.6260
Fe Zn Mo
1 2 1
direct
0.2500 0.7500 0.5000
0.0000 0.0000 0.0000
0.5000 0.5000 0.0000
0.7500 0.2500 0.5000
```

Calculated values
- space-group type = I4/mmm
- energy above the most stable polymorph in this dataset (meV/atom) = 163
- E_form (eV per atom) = 0.22
- size of the total moment (μB/atom) = 0.67
- DOS at the Fermi energy (states/eV/f.u.) = 3.80

=====

No. 8
AcLa6TbHo2 | PBE-GGA | relaxed

Structure (POSCAR):
```
AcLa6TbHo2
1.0
9.4966 -2.1399 -2.2207
0.8622 8.8251 -2.0414
0.8622 -2.3671 8.7434
La Tb Ho Ac
12 2 4 2
direct
0.3130 0.9950 0.4470
0.3788 0.5085 0.2962
0.8131 0.4470 0.9950
0.8788 0.2962 0.5085
0.1870 0.5530 0.0050
0.9489 0.8873 0.2476
0.1212 0.7038 0.4915
0.4489 0.2476 0.8873
0.6869 0.0050 0.5530
0.5511 0.7524 0.1127
0.0511 0.1127 0.7524
0.6212 0.4915 0.7038
0.2500 0.4108 0.5892
0.7500 0.5892 0.4108
0.4537 0.7978 0.6964
0.9537 0.6964 0.7978
0.5463 0.2022 0.3036
0.0463 0.3036 0.2022
0.7500 0.0259 0.9741
0.2500 0.9741 0.0259
```

Calculated values
- space-group type = C2/c
- E_form (eV per atom) = 0.11
- size of the total moment (μB/atom) = 0.00
- DOS at the Fermi energy (states/eV/f.u.) = 15.26

=====

No. 9
Ba3RhO | PBE-GGA | relaxed

Structure (POSCAR):
```
Ba3RhO
1.0
-1.8066 -3.9076 1.8956
6.8870 -2.0888 2.2579
-4.2760 5.6790 7.6313
Rh O Ba
2 2 6
direct
0.7500 0.7018 0.3639
0.2500 0.2982 0.6361
0.2500 0.1221 0.1302
0.7500 0.8779 0.8698
0.7500 0.0236 0.6585
0.2500 0.7871 0.9533
0.2500 0.4605 0.3467
0.2500 0.9764 0.3415
0.7500 0.2129 0.0467
0.7500 0.5395 0.6533
```

Calculated values
- uncorrected formation energy (eV per atom) = -0.96
- space-group type = P2_1/m
- energy above the most stable polymorph in this dataset (meV/atom) = 0
- size of the total moment (μB/atom) = 0.00
- DOS at the Fermi energy (states/eV/f.u.) = 2.60

=====

No. 10
Pm5DySc4 | PBE-GGA | relaxed

Structure (POSCAR):
```
Pm5DySc4
1.0
-2.5374 -0.3060 -2.4865
0.7007 -3.4845 -0.2862
-15.8219 -4.5536 16.7060
Pm Sc Dy
5 4 1
direct
0.5000 0.5000 0.8918
0.5000 0.5000 0.5000
0.5000 0.5000 0.6952
0.5000 0.5000 0.3048
0.5000 0.5000 0.1082
0.0000 0.0000 0.7932
0.0000 0.0000 0.4024
0.0000 0.0000 0.2068
0.0000 0.0000 0.5976
0.0000 0.0000 0.0000
```

Calculated values
- space-group type = P4/mmm
- energy above the most stable polymorph in this dataset (meV/atom) = 0
- E_form (eV per atom) = 0.05
- size of the total moment (μB/atom) = 0.00
- DOS at the Fermi energy (states/eV/f.u.) = 14.77

=====

No. 11
Si2Pt | PBE-GGA | relaxed

Structure (POSCAR):
```
Si2Pt
1.0
3.5701 0.0000 0.0000
0.0000 3.5701 0.0000
0.0000 0.0000 3.7657
Si Pt
2 1
direct
0.5000 0.0000 0.5000
0.0000 0.5000 0.5000
0.0000 0.0000 0.0000
```

Calculated values
- uncorrected formation energy (eV per atom) = -0.13
- space-group type = P4/mmm
- size of the total moment (μB/atom) = 0.00
- DOS at the Fermi energy (states/eV/f.u.) = 1.07

=====

No. 12
CoTcMoRu | PBE-GGA | relaxed

Structure (POSCAR):
```
CoTcMoRu
1.0
4.3018 0.0000 0.0000
2.1509 3.7254 0.0000
2.1509 1.2418 3.5124
Ru Mo Co Tc
1 1 1 1
direct
0.2500 0.2500 0.2500
0.0000 0.0000 0.0000
0.5000 0.5000 0.5000
0.7500 0.7500 0.7500
```

Calculated values
- space-group type = F-43m
- E_form (eV per atom) = 0.21
- size of the total moment (μB/atom) = 0.58
- DOS at the Fermi energy (states/eV/f.u.) = 6.42

=====

Look up the size of the total moment of the seventh one. 0.67 μB/atom

=====

Among the records above, which one has the lowest DOS at the Fermi energy? Si2Pt

=====

What is the size of the total moment in the tenth record? 0.00 μB/atom